# 1
Material: ZnCd2Os
Method: DFT, GGA-PBE
State: relaxed

abc: 10.041 2.785 5.008
angles: 90.00 97.29 90.00
Space group C2/m (No. 12)
Unique sites:
1 Zn 0.000 0.000 0.000 [2 per cell]
2 Cd 0.242 0.000 0.747 [4 per cell]
3 Os 0.000 0.500 0.500 [2 per cell]

Results
The energy of formation from the pure elements comes out at 0.43 eV per atom.

---

# 2
Material: GePt2Au2
Method: DFT, GGA-PBE
State: relaxed

abc: 7.011 7.011 3.706
angles: 90.00 90.00 90.00
Space group P4/mbm (No. 127)
Unique sites:
1 Ge 0.000 0.000 0.000 [2 per cell]
2 Pt 0.148 0.352 0.500 [4 per cell]
3 Au 0.150 0.650 0.000 [4 per cell]

Results
The energy of formation from the pure elements comes out at 0.20 eV per atom. For the polymorph energy (0 for the lowest one), the calculation gives 1.36 eV/f.u.

---

Number 1: total DFT energy (no corrections) -3.16 eV per atom, magnetic moment 0.0 Bohr magnetons per cell. Number 2: total DFT energy (no corrections) -4.45 eV per atom, magnetic moment 0.0 Bohr magnetons per cell.